[1]
! PBE Rb3Cd4Au2, optimized geometry; values from VASP
&SYSTEM
  ibrav = 0, nat = 9, ntyp = 3
/
ATOMIC_SPECIES
Rb 85.47 Rb.upf
Cd 112.41 Cd.upf
Au 196.97 Au.upf
ATOMIC_POSITIONS angstrom
Rb 0.000 0.000 0.000
Rb 3.744 0.000 3.402
Rb 7.761 0.000 6.450
Cd -0.028 0.000 3.703
Cd 2.015 0.000 9.189
Cd 9.489 0.000 0.664
Cd 11.532 0.000 6.149
Au 3.941 0.000 7.132
Au 7.563 0.000 2.720
CELL_PARAMETERS angstrom
6.661 -2.472 0.000
6.661 2.472 0.000
-1.818 0.000 9.853
! Relative energy among the computed polymorphs, meV/atom: 3

=====

[2]
! PBE ZnRe2MoRu, optimized geometry; values from VASP
&SYSTEM
  ibrav = 0, nat = 5, ntyp = 4
/
ATOMIC_SPECIES
Zn 65.41 Zn.upf
Re 186.21 Re.upf
Mo 95.94 Mo.upf
Ru 101.07 Ru.upf
ATOMIC_POSITIONS angstrom
Zn 0.000 0.000 0.000
Re 0.000 2.337 2.331
Re 2.337 0.000 2.331
Mo 2.337 2.337 0.000
Ru 2.337 2.337 2.331
CELL_PARAMETERS angstrom
4.674 0.000 0.000
0.000 4.674 0.000
0.000 0.000 4.661
! Total energy, eV for the cell shown: -36.4